P:
## Sm8Hg2Rh (GGA-PBE)

Data for Sm8Hg2Rh after structural relaxation.

Cell and atoms, written as POSCAR:
```
Sm8Hg2Rh
1.0
9.0477 -2.6239 0.0000
9.0477 2.6239 0.0000
-1.4024 0.0000 6.8041
Sm Hg Rh
8 2 1
direct
0.0232 0.0232 0.2772
0.2013 0.2013 0.8128
0.3483 0.3483 0.5370
0.4121 0.4121 0.0609
0.5879 0.5879 0.9391
0.6517 0.6517 0.4630
0.7987 0.7987 0.1872
0.9768 0.9768 0.7228
0.1922 0.1922 0.2415
0.8078 0.8078 0.7585
0.5000 0.5000 0.5000
```

***

Q:
## Sm8Hg2Rh (GGA-PBE)

Data for Sm8Hg2Rh after structural relaxation.

Cell and atoms, written as POSCAR:
```
Sm8Hg2Rh
1.0
3.9179 -8.1274 0.0000
3.9179 8.1274 0.0000
-3.5291 0.0000 5.2530
Sm Hg Rh
8 2 1
direct
0.0000 0.0000 0.0000
0.1121 0.8872 0.4751
0.3422 0.5706 0.1098
0.4504 0.4504 0.6193
0.5340 0.9238 0.7773
0.5706 0.3422 0.1098
0.8872 0.1121 0.4751
0.9238 0.5340 0.7773
0.0075 0.4414 0.2839
0.4414 0.0075 0.2839
0.7256 0.7256 0.4853
```

***

Which one sits at the top of the stability order? P does.

***

P:
## Sm2HgRh (GGA-PBE)

Data for Sm2HgRh after structural relaxation.

Cell and atoms, written as POSCAR:
```
Sm2HgRh
1.0
3.5708 0.0000 0.0000
0.0000 3.5708 0.0000
0.0000 0.0000 7.6604
Sm Hg Rh
2 1 1
direct
0.0000 0.0000 0.2205
0.0000 0.0000 0.7795
0.5000 0.5000 0.5000
0.5000 0.5000 0.0000
```

***

Q:
## Sm2HgRh (GGA-PBE)

Data for Sm2HgRh after structural relaxation.

Cell and atoms, written as POSCAR:
```
Sm2HgRh
1.0
2.0508 1.1840 7.6235
-2.0508 1.1840 7.6235
0.0000 -2.3680 7.6235
Sm Hg Rh
2 1 1
direct
0.0000 0.0000 0.0000
0.1990 0.1990 0.1990
0.4332 0.4332 0.4332
0.5980 0.5980 0.5980
```

***

Which one sits at the top of the stability order? P does.

***

P:
## Sm2HgRh (GGA-PBE)

Data for Sm2HgRh after structural relaxation.

Cell and atoms, written as POSCAR:
```
Sm2HgRh
1.0
2.0078 1.1592 7.8763
-2.0078 1.1592 7.8763
0.0000 -2.3184 7.8763
Sm Hg Rh
2 1 1
direct
0.2346 0.2346 0.2346
0.7654 0.7654 0.7654
0.0000 0.0000 0.0000
0.5000 0.5000 0.5000
```

***

Q:
## Sm2HgRh (GGA-PBE)

Data for Sm2HgRh after structural relaxation.

Cell and atoms, written as POSCAR:
```
Sm2HgRh
1.0
0.0000 3.6462 3.6462
3.6462 0.0000 3.6462
3.6462 3.6462 0.0000
Sm Hg Rh
2 1 1
direct
0.2500 0.2500 0.2500
0.7500 0.7500 0.7500
0.0000 0.0000 0.0000
0.5000 0.5000 0.5000
```

***

Which one sits at the top of the stability order? P does.

***

P:
## Sm3Hg2Rh (GGA-PBE)

Data for Sm3Hg2Rh after structural relaxation.

Cell and atoms, written as POSCAR:
```
Sm3Hg2Rh
1.0
7.5745 -2.9653 0.0000
7.5745 2.9653 0.0000
-1.0048 0.0000 3.7777
Sm Hg Rh
3 2 1
direct
0.0000 0.0000 0.0000
0.3662 0.3662 0.3671
0.6338 0.6338 0.6329
0.1901 0.1901 0.6921
0.8099 0.8099 0.3079
0.5000 0.5000 0.0000
```

***

Q:
## Sm3Hg2Rh (GGA-PBE)

Data for Sm3Hg2Rh after structural relaxation.

Cell and atoms, written as POSCAR:
```
Sm3Hg2Rh
1.0
12.8508 0.0000 0.0000
0.0000 4.6900 0.0000
0.0000 0.0000 10.5711
Sm Hg Rh
12 8 4
direct
0.0569 0.2500 0.1086
0.1057 0.7500 0.5546
0.2444 0.7500 0.2799
0.2556 0.2500 0.7799
0.3943 0.2500 0.0546
0.4431 0.7500 0.6086
0.5569 0.2500 0.3914
0.6057 0.7500 0.9454
0.7444 0.7500 0.2201
0.7556 0.2500 0.7201
0.8943 0.2500 0.4454
0.9431 0.7500 0.8914
0.0151 0.2500 0.7203
0.1933 0.7500 0.9853
0.3067 0.2500 0.4853
0.4849 0.7500 0.2203
0.5151 0.2500 0.7797
0.6933 0.7500 0.5147
0.8067 0.2500 0.0147
0.9849 0.7500 0.2797
0.1129 0.2500 0.3639
0.3871 0.7500 0.8639
0.6129 0.2500 0.1361
0.8871 0.7500 0.6361
```

***

Which one sits at the top of the stability order? Q does.